(1)
Computed, not measured: crystalline TlZnCoPt at its relaxed geometry at the GGA-PBE level of DFT.

a = 4.479 Å, b = 4.479 Å, c = 4.479 Å
α = 60.00°, β = 60.00°, γ = 60.00°
Each line ends with the local moment (μB).
Fractional coordinates of all 4 atoms:
Co 0.750 0.750 0.750  1.03
Pt 0.250 0.250 0.250  0.04
Tl 0.000 0.000 0.000  -0.03
Zn 0.500 0.500 0.500  -0.03

* SG: No. 216
* total magnetic moment: 1.0 Bohr magnetons per cell
* DFT total energy: -4.07 eV per atom
* distance to the lowest polymorph of the same formula: 0 meV per atom
* calculated volume: 15.9 A^3/atom

(2)
Computed, not measured: crystalline K14ZnGe16 at its relaxed geometry at the GGA-PBE level of DFT.

a = 20.287 Å, b = 7.024 Å, c = 14.129 Å
α = 90.00°, β = 90.00°, γ = 90.00°
Fractional coordinates of all 62 atoms:
Ge 0.000 0.240 0.031
Ge 0.066 0.572 0.040
Ge 0.934 0.572 0.040
Ge 0.435 0.535 0.105
Ge 0.565 0.535 0.105
Ge 0.000 0.438 0.180
Ge 0.500 0.338 0.227
Ge 0.500 0.732 0.228
Ge 0.216 0.830 0.261
Ge 0.784 0.830 0.261
Ge 0.253 0.152 0.331
Ge 0.747 0.152 0.331
Ge 0.139 0.016 0.373
Ge 0.861 0.016 0.373
Ge 0.244 0.854 0.440
Ge 0.756 0.854 0.440
Ge 0.500 0.760 0.531
Ge 0.434 0.428 0.540
Ge 0.566 0.428 0.540
Ge 0.065 0.465 0.605
Ge 0.935 0.465 0.605
Ge 0.500 0.562 0.680
Ge 0.000 0.662 0.727
Ge 0.000 0.268 0.728
Ge 0.284 0.170 0.761
Ge 0.716 0.170 0.761
Ge 0.247 0.848 0.831
Ge 0.753 0.848 0.831
Ge 0.361 0.984 0.873
Ge 0.639 0.984 0.873
Ge 0.256 0.146 0.940
Ge 0.744 0.146 0.940
K 0.500 0.954 0.000
K 0.250 0.647 0.044
K 0.750 0.647 0.044
K 0.355 0.071 0.133
K 0.645 0.071 0.133
K 0.155 0.193 0.136
K 0.845 0.193 0.136
K 0.000 0.912 0.216
K 0.344 0.548 0.313
K 0.656 0.548 0.313
K 0.116 0.515 0.367
K 0.884 0.515 0.367
K 0.409 0.042 0.392
K 0.591 0.042 0.392
K 0.000 0.046 0.500
K 0.250 0.353 0.544
K 0.750 0.353 0.544
K 0.145 0.929 0.633
K 0.855 0.929 0.633
K 0.345 0.807 0.636
K 0.655 0.807 0.636
K 0.500 0.088 0.716
K 0.156 0.452 0.813
K 0.844 0.452 0.813
K 0.384 0.485 0.867
K 0.616 0.485 0.867
K 0.091 0.958 0.892
K 0.909 0.958 0.892
Zn 0.500 0.530 0.387
Zn 0.000 0.470 0.887

* SG: No. 31
* DFT total energy: -3.13 eV per atom
* calculated volume: 32.5 A^3/atom

(3)
Computed, not measured: crystalline LiGdGe at its relaxed geometry at the GGA-PBE level of DFT.

a = 7.218 Å, b = 4.402 Å, c = 7.693 Å
α = 90.00°, β = 90.00°, γ = 90.00°
Fractional coordinates of all 12 atoms:
Gd 0.495 0.250 0.220
Gd 0.995 0.250 0.280
Gd 0.005 0.750 0.720
Gd 0.505 0.750 0.780
Ge 0.768 0.750 0.089
Ge 0.268 0.750 0.411
Ge 0.732 0.250 0.589
Ge 0.232 0.250 0.911
Li 0.185 0.750 0.080
Li 0.685 0.750 0.420
Li 0.315 0.250 0.580
Li 0.815 0.250 0.920

* SG: No. 62
* total magnetic moment: 0.0 Bohr magnetons per cell
* DFT total energy: -4.42 eV per atom
* distance to the lowest polymorph of the same formula: 19 meV per atom
* calculated volume: 20.4 A^3/atom

(4)
Computed, not measured: crystalline KPrMgS3 at its relaxed geometry at the GGA-PBE level of DFT.

a = 11.466 Å, b = 4.296 Å, c = 12.229 Å
α = 90.00°, β = 90.00°, γ = 90.00°
Fractional coordinates of all 24 atoms:
K 0.841 0.250 0.003
K 0.341 0.250 0.497
K 0.659 0.750 0.503
K 0.159 0.750 0.997
Mg 0.258 0.250 0.212
Mg 0.758 0.250 0.288
Mg 0.242 0.750 0.712
Mg 0.742 0.750 0.788
Pr 0.522 0.750 0.167
Pr 0.022 0.750 0.333
Pr 0.978 0.250 0.667
Pr 0.478 0.250 0.833
S 0.390 0.250 0.058
S 0.050 0.250 0.177
S 0.783 0.750 0.197
S 0.283 0.750 0.303
S 0.550 0.250 0.323
S 0.890 0.250 0.442
S 0.110 0.750 0.558
S 0.450 0.750 0.677
S 0.717 0.250 0.697
S 0.217 0.250 0.803
S 0.950 0.750 0.823
S 0.610 0.750 0.942

* SG: No. 62
* total magnetic moment: 0.0 Bohr magnetons per cell
* DFT total energy: -4.96 eV per atom
* distance to the lowest polymorph of the same formula: 0 meV per atom
* calculated volume: 25.1 A^3/atom

(5)
Computed, not measured: crystalline TaCuBi at its relaxed geometry at the GGA-PBE level of DFT.

a = 4.596 Å, b = 4.596 Å, c = 4.596 Å
α = 60.00°, β = 60.00°, γ = 60.00°
Fractional coordinates of all 3 atoms:
Bi 0.250 0.250 0.250
Cu 0.750 0.750 0.750
Ta 0.000 0.000 0.000

* SG: No. 216
* total magnetic moment: 0.8 Bohr magnetons per cell
* DFT total energy: -5.69 eV per atom
* calculated volume: 22.9 A^3/atom

(6)
Computed, not measured: crystalline B4MoW3 at its relaxed geometry at the GGA-PBE level of DFT.

a = 8.797 Å, b = 8.797 Å, c = 8.797 Å
α = 159.45°, β = 159.44°, γ = 29.23°
Fractional coordinates of all 8 atoms:
B 0.594 0.594 0.000
B 0.906 0.906 0.000
B 0.656 0.156 0.500
B 0.344 0.844 0.500
Mo 0.447 0.447 0.000
W 0.054 0.054 0.000
W 0.803 0.303 0.500
W 0.197 0.697 0.500

* SG: No. 44
* total magnetic moment: 0.0 Bohr magnetons per cell
* DFT total energy: -9.96 eV per atom
* calculated volume: 10.5 A^3/atom

(7)
Computed, not measured: crystalline Li2AlZn2InPt2 at its relaxed geometry at the GGA-PBE level of DFT.

a = 4.379 Å, b = 4.379 Å, c = 6.277 Å
α = 90.00°, β = 90.00°, γ = 90.00°
Fractional coordinates of all 8 atoms:
Al 0.000 0.000 0.000
In 0.500 0.500 0.500
Li 0.500 0.000 0.237
Li 0.000 0.500 0.763
Pt 0.000 0.500 0.228
Pt 0.500 0.000 0.772
Zn 0.500 0.500 0.000
Zn 0.000 0.000 0.500

* SG: No. 115
* total magnetic moment: 0.0 Bohr magnetons per cell
* DFT total energy: -3.73 eV per atom
* calculated volume: 15.0 A^3/atom

(8)
Computed, not measured: crystalline Re2Si3Os2 at its relaxed geometry at the GGA-PBE level of DFT.

a = 7.195 Å, b = 7.195 Å, c = 7.195 Å
α = 33.30°, β = 33.30°, γ = 33.30°
Fractional coordinates of all 7 atoms:
Os 0.502 0.502 0.502
Os 0.995 0.995 0.995
Re 0.249 0.249 0.249
Re 0.750 0.750 0.750
Si 0.381 0.381 0.381
Si 0.626 0.626 0.626
Si 0.871 0.871 0.871

* SG: No. 160
* total magnetic moment: 0.0 Bohr magnetons per cell
* DFT total energy: -9.06 eV per atom
* calculated volume: 14.3 A^3/atom